Entry 1:
Below is a relaxed NaLiPaF6 crystal, with properties calculated at the PBE-GGA level.

Its calculated total energy is -6.01 eV/atom. The uncorrected formation energy is -30.1 eV/f.u. As for the magnetization: 2.00 Bohr magnetons per cell.

The space group is P-31c (No. 163) and the conventional cell measures 5.8047, 5.8047 and 9.0627 Å, with angles of 90.00, 90.00 and 120.00 degrees. The asymmetric unit holds Na at (0.3333, 0.6667, 0.2500), Li at (0.0000, 0.0000, 0.0000), Pa at (0.3333, 0.6667, 0.7500) and F at (0.0144, 0.3331, 0.6236).

=====

Entry 2:
Below is a relaxed NaLi2PbF crystal, with properties calculated at the PBE-GGA level.

Its calculated total energy is -3.26 eV/atom. The uncorrected formation energy is -5.6 eV/f.u. As for the magnetization: 0.00 Bohr magnetons per cell.

The space group is P4/mmm (No. 123) and the conventional cell measures 4.3430, 4.3430 and 4.8282 Å, with angles of 90.00, 90.00 and 90.00 degrees. The asymmetric unit holds Na at (0.0000, 0.0000, 0.0000), Li at (0.0000, 0.5000, 0.5000), Pb at (0.5000, 0.5000, 0.0000) and F at (0.0000, 0.0000, 0.5000).

=====

Entry 3:
Below is a relaxed NaLi2PbF8 crystal, with properties calculated at the PBE-GGA level.

Its calculated total energy is -4.23 eV/atom. The uncorrected formation energy is -26.9 eV/f.u. As for the magnetization: 1.11 Bohr magnetons per cell.

The space group is P2/m (No. 10) and the conventional cell measures 4.5155, 6.8886 and 5.0513 Å, with angles of 90.00, 92.76 and 90.00 degrees. The asymmetric unit holds Na at (0.0000, 0.0000, 0.0000), Li at (0.5000, 0.2668, 0.5000), Pb at (0.0000, 0.5000, 0.0000), F at (0.2135, 0.0000, 0.5841), F at (0.2494, 0.2692, 0.1702) and F at (0.2691, 0.5000, 0.6689).

=====

Entry 4:
Below is a relaxed NaLiPbF6 crystal, with properties calculated at the PBE-GGA level.

Its calculated total energy is -4.42 eV/atom. The uncorrected formation energy is -21.6 eV/f.u. As for the magnetization: 0.00 Bohr magnetons per cell.

The space group is P-31c (No. 163) and the conventional cell measures 5.4838, 5.4838 and 9.8792 Å, with angles of 90.00, 90.00 and 120.00 degrees. The asymmetric unit holds Na at (0.0000, 0.0000, 0.0000), Li at (0.3333, 0.6667, 0.2500), Pb at (0.3333, 0.6667, 0.7500) and F at (0.0043, 0.3580, 0.1365).

=====

Question: What is the formula in the fourth record?
Answer: NaLiPbF6

=====

Question: Which value of calculated total energy does entry 4 give?
Answer: -4.42 eV/atom